Computed, not measured: a relaxed structure of Rb3Sm3VO8 at the PBE+U level of DFT.

Summary:
- crystal system = trigonal
- space-group type = R-3m, No. 166
- density (g/cm³) = 5.353
- density of states at the Fermi level (states/eV/cell) = 0.0
- electronic total energy (eV per atom) = -6.75

Structure (POSCAR):
```
Rb3Sm3VO8
1.0
3.465 2.001 6.610
-3.465 2.001 6.610
0.000 -4.002 6.610
Rb Sm V O
3 3 1 8
Direct
0.000 0.500 0.500
0.500 0.000 0.500
0.500 0.500 0.000
0.000 0.000 0.500
0.000 0.500 0.000
0.500 0.000 0.000
0.500 0.500 0.500
0.226 0.226 0.226
0.261 0.700 0.700
0.300 0.300 0.739
0.300 0.739 0.300
0.700 0.261 0.700
0.700 0.700 0.261
0.739 0.300 0.300
0.774 0.774 0.774
```